(1)
Li2MgCr: optimized geometry, PBEsol.

Cell lengths 2.937, 4.886, 5.133 Å; angles 90.00, 94.93, 90.00 degrees
Space group P2/m (No. 10)
Inequivalent atoms, fractional coordinates:
Li: 0.237 0.000 0.262 x2
Mg: 0.500 0.500 0.000 x1
Cr: 0.000 0.500 0.500 x1

Calculated formation energy (eV/f.u.): 1.644
D(E_F) (states/eV per cell): 2.03



(2)
Li2MgCr: optimized geometry, PBEsol.

Cell lengths 10.017, 3.024, 4.962 Å; angles 90.00, 103.86, 90.00 degrees
Space group C2/m (No. 12)
Inequivalent atoms, fractional coordinates:
Li: 0.246 0.000 0.239 x4
Mg: 0.000 0.000 0.500 x2
Cr: 0.000 0.500 0.000 x2

Calculated formation energy (eV/f.u.): 1.564
D(E_F) (states/eV per cell): 3.57



(3)
Li2MgCr: optimized geometry, PBEsol.

Cell lengths 4.163, 4.163, 4.252 Å; angles 90.00, 90.00, 90.00 degrees
Space group P4/mmm (No. 123)
Inequivalent atoms, fractional coordinates:
Li: 0.000 0.500 0.000 x2
Mg: 0.000 0.000 0.500 x1
Cr: 0.500 0.500 0.500 x1

Calculated formation energy (eV/f.u.): 1.732
D(E_F) (states/eV per cell): 2.12



(4)
Li2MgCr: optimized geometry, PBEsol.

Cell lengths 2.928, 4.362, 9.671 Å; angles 90.00, 90.00, 90.00 degrees
Space group Cmmm (No. 65)
Inequivalent atoms, fractional coordinates:
Li: 0.000 0.000 0.233 x4
Mg: 0.000 0.500 0.500 x2
Cr: 0.000 0.500 0.000 x2

Calculated formation energy (eV/f.u.): 1.944
D(E_F) (states/eV per cell): 6.26



(5)
Li2MgCr: optimized geometry, PBEsol.

Cell lengths 4.125, 4.125, 8.516 Å; angles 90.00, 90.00, 90.00 degrees
Space group I4/mmm (No. 139)
Inequivalent atoms, fractional coordinates:
Li: 0.000 0.500 0.250 x4
Mg: 0.000 0.000 0.000 x2
Cr: 0.000 0.000 0.500 x2

Calculated formation energy (eV/f.u.): 1.676
D(E_F) (states/eV per cell): 4.54



(6)
LiMgCr3S6O24: optimized geometry, PBEsol.

Cell lengths 8.170, 8.198, 8.755 Å; angles 90.41, 117.81, 119.52 degrees
Space group P1 (No. 1)
Inequivalent atoms, fractional coordinates:
Li: 0.000 0.000 0.000 x1
Mg: 0.691 0.728 0.090 x1
Cr: 0.102 0.434 0.193 x1
Cr: 0.109 0.930 0.702 x1
Cr: 0.690 0.228 0.570 x1
S: 0.181 0.323 0.887 x1
S: 0.193 0.126 0.388 x1
S: 0.612 0.834 0.393 x1
S: 0.617 0.057 0.894 x1
S: 0.902 0.540 0.393 x1
S: 0.908 0.619 0.891 x1
O: 0.030 0.824 0.879 x1
O: 0.035 0.689 0.573 x1
O: 0.035 0.947 0.228 x1
O: 0.067 0.568 0.348 x1
O: 0.084 0.599 0.034 x1
O: 0.127 0.284 0.033 x1
O: 0.130 0.270 0.355 x1
O: 0.197 0.079 0.551 x1
O: 0.244 0.185 0.871 x1
O: 0.360 0.526 0.939 x1
O: 0.398 0.966 0.874 x1
O: 0.417 0.217 0.416 x1
O: 0.428 0.626 0.341 x1
O: 0.543 0.963 0.422 x1
O: 0.593 0.095 0.723 x1
O: 0.667 0.873 0.255 x1
O: 0.692 0.923 0.933 x1
O: 0.733 0.564 0.255 x1
O: 0.752 0.603 0.936 x1
O: 0.777 0.246 0.046 x1
O: 0.791 0.479 0.713 x1
O: 0.793 0.340 0.412 x1
O: 0.807 0.872 0.570 x1
O: 0.981 0.270 0.714 x1

E_form (uncorrected) (eV/atom): -1.640



(7)
Li2MgCr3Se3S3O24: optimized geometry, PBEsol.

Cell lengths 8.303, 8.421, 8.671 Å; angles 63.55, 61.62, 61.59 degrees
Space group P1 (No. 1)
Inequivalent atoms, fractional coordinates:
Li: 0.000 0.000 0.000 x1
Li: 0.270 0.504 0.158 x1
Mg: 0.652 0.489 0.024 x1
Cr: 0.128 0.004 0.528 x1
Cr: 0.316 0.226 0.891 x1
Cr: 0.845 0.727 0.378 x1
Se: 0.273 0.799 0.220 x1
Se: 0.426 0.627 0.723 x1
Se: 0.725 0.922 0.698 x1
S: 0.031 0.347 0.683 x1
S: 0.530 0.084 0.183 x1
S: 0.964 0.390 0.207 x1
O: 0.002 0.240 0.370 x1
O: 0.085 0.769 0.197 x1
O: 0.130 0.160 0.649 x1
O: 0.158 0.395 0.057 x1
O: 0.161 0.387 0.724 x1
O: 0.168 0.099 0.009 x1
O: 0.168 0.815 0.440 x1
O: 0.208 0.794 0.726 x1
O: 0.388 0.021 0.358 x1
O: 0.421 0.572 0.244 x1
O: 0.437 0.617 0.913 x1
O: 0.453 0.418 0.725 x1
O: 0.499 0.077 0.722 x1
O: 0.500 0.075 0.030 x1
O: 0.516 0.275 0.153 x1
O: 0.593 0.700 0.537 x1
O: 0.730 0.952 0.183 x1
O: 0.741 0.721 0.860 x1
O: 0.794 0.908 0.488 x1
O: 0.842 0.363 0.152 x1
O: 0.847 0.344 0.835 x1
O: 0.865 0.019 0.693 x1
O: 0.871 0.577 0.241 x1
O: 0.999 0.496 0.514 x1

D(E_F) (states/eV per cell): 3.53
E_form (uncorrected) (eV/atom): -1.399



(8)
LiMn2Cr: optimized geometry, PBEsol.

Cell lengths 8.048, 2.272, 4.681 Å; angles 90.00, 90.36, 90.00 degrees
Space group C2/m (No. 12)
Inequivalent atoms, fractional coordinates:
Li: 0.000 0.000 0.000 x2
Mn: 0.248 0.500 0.245 x4
Cr: 0.000 0.500 0.500 x2

Calculated formation energy (eV/f.u.): 1.612
D(E_F) (states/eV per cell): 8.32